Sm2Cu3Si (PBE, optimized geometry); density of states at the Fermi level = 3.845 states/eV/f.u.; energy = -0.181 hartree per atom; symmetry = Fmmm, No. 69
1.0
-2.9066 0.7093 -4.8450
2.1999 -5.0877 -1.3043
-5.4523 -1.0910 6.0774
Sm Cu Si
4 6 2
direct
0.2500 0.7500 0.5000
0.7615 0.7615 0.0000
0.7500 0.2500 0.5000
0.2385 0.2385 0.0000
0.3407 0.8290 0.1697
0.1710 0.6593 0.8303
0.6593 0.1710 0.8303
0.8290 0.3407 0.1697
0.1704 0.1704 0.3408
0.8296 0.8296 0.6592
0.6645 0.6645 0.3290
0.3355 0.3355 0.6710

=====

PuPaTcSn (PBE, optimized geometry); density of states at the Fermi level = 8.226 states/eV/f.u.; calculated formation energy = -0.14 eV per atom; energy = -0.356 hartree per atom; symmetry = P4mm, No. 99; ΔE to the lowest computed polymorph = 9 meV per atom
1.0
3.8292 0.0000 0.0000
0.0000 3.8292 0.0000
0.0000 0.0000 6.1109
Pu Pa Tc Sn
1 1 1 1
direct
0.5000 0.5000 0.8404
0.5000 0.5000 0.2878
0.0000 0.0000 0.0816
0.0000 0.0000 0.5749

=====

Tl12HgPb3 (PBE, optimized geometry); density of states at the Fermi level = 8.908 states/eV/f.u.; calculated formation energy = 0.01 eV per atom; energy = -0.091 hartree per atom; symmetry = P4/mmm, No. 123
1.0
-3.8761 1.4456 3.7363
-2.2203 -5.1025 -0.3293
9.4415 -4.8619 11.6760
Tl Hg Pb
12 1 3
direct
0.5000 0.5000 0.0000
0.5000 0.5000 0.2456
0.5000 0.5000 0.5000
0.5000 0.5000 0.7544
0.5000 0.0000 0.1209
0.5000 0.0000 0.3742
0.5000 0.0000 0.6258
0.5000 0.0000 0.8791
0.0000 0.5000 0.1209
0.0000 0.5000 0.3742
0.0000 0.5000 0.6258
0.0000 0.5000 0.8791
0.0000 0.0000 0.0000
0.0000 0.0000 0.2509
0.0000 0.0000 0.5000
0.0000 0.0000 0.7491

=====

VFeAsC2 (PBE, optimized geometry); density of states at the Fermi level = 4.981 states/eV/f.u.; calculated formation energy = 1.59 eV per atom; energy = -0.241 hartree per atom; symmetry = P4/mmm, No. 123
1.0
-0.5233 3.3414 -1.7562
-4.8012 -0.9999 -0.4720
-0.6765 1.6613 3.3624
C As Fe V
2 1 1 1
direct
0.0000 0.0000 0.5000
0.5000 0.0000 0.0000
0.5000 0.5000 0.5000
0.0000 0.5000 0.0000
0.0000 0.0000 0.0000

=====

EuGd2Al (PBE, optimized geometry); density of states at the Fermi level = 5.154 states/eV/f.u.; calculated formation energy = 0.07 eV per atom; energy = -0.385 hartree per atom; symmetry = R-3m, No. 166; ΔE to the lowest computed polymorph = 221 meV per atom
1.0
3.5795 0.0000 0.0000
1.7897 3.0999 0.0000
1.7897 1.0333 11.5516
Eu Gd Al
1 2 1
direct
0.0000 0.0000 0.0000
0.1017 0.1017 0.6950
0.8983 0.8983 0.3050
0.5000 0.5000 0.5000

=====

ScTlBr2 (PBE, optimized geometry); density of states at the Fermi level = 2.916 states/eV/f.u.; energy = -0.145 hartree per atom; symmetry = Cm, No. 8; ΔE to the lowest computed polymorph = 94 meV per atom
1.0
-4.2963 0.9056 5.1495
-1.1259 0.2617 6.6678
-0.4646 5.7774 3.4203
Br Sc Tl
2 1 1
direct
0.0148 0.0148 0.9288
0.8401 0.8401 0.6131
0.4556 0.4556 0.7152
0.1895 0.1895 0.2430